DFT (GGA-PBE) results for a relaxed TbY2In3AgIr2 crystal.

The structure in POSCAR format:
```
TbY2In3AgIr2
1.0
-2.717 -2.352 -1.400
-1.178 -2.851 7.073
-4.046 6.110 -2.416
Ag In Tb Ir Y
1 3 1 2 2
Direct
0.000 0.000 0.000
0.500 0.268 0.268
0.500 0.732 0.000
0.500 0.000 0.732
0.000 0.587 0.587
0.500 0.667 0.334
0.500 0.334 0.667
0.000 0.413 0.000
0.000 0.000 0.413
```

Results
magnetization: 0.001 μB per atom
mass density: 9.80 g/cm3
uncorrected energy: -5.757 eV/atom

DFT (GGA-PBE) results for a relaxed InAgTe3Ir crystal.

The structure in POSCAR format:
```
InAgTe3Ir
1.0
7.093 -1.975 0.000
7.093 1.975 0.000
0.000 0.000 11.174
Te Ag In Ir
6 2 2 2
Direct
0.625 0.625 0.994
0.973 0.973 0.750
0.027 0.027 0.250
0.375 0.375 0.494
0.625 0.625 0.506
0.375 0.375 0.006
0.354 0.354 0.250
0.646 0.646 0.750
0.705 0.705 0.250
0.295 0.295 0.750
0.000 0.000 0.500
0.000 0.000 0.000
```

Results
magnetization: 0.002 μB per atom
mass density: 8.46 g/cm3
uncorrected energy: -4.061 eV/atom

DFT (GGA-PBE) results for a relaxed Tm3In3AgIr2 crystal.

The structure in POSCAR format:
```
Tm3In3AgIr2
1.0
7.671 0.000 0.000
-3.835 6.643 0.000
0.000 0.000 3.778
In Ir Ag Tm
3 2 1 3
Direct
0.270 0.270 0.500
0.000 0.730 0.500
0.730 0.000 0.500
0.667 0.333 0.500
0.333 0.667 0.500
0.000 0.000 0.000
0.589 0.589 0.000
0.000 0.411 0.000
0.411 0.000 0.000
```

Results
magnetization: 0.003 μB per atom
mass density: 11.59 g/cm3
uncorrected energy: -5.297 eV/atom

DFT (GGA-PBE) results for a relaxed KInAg crystal.

The structure in POSCAR format:
```
KInAg
1.0
0.000 3.680 3.680
3.680 0.000 3.680
3.680 3.680 0.000
In K Ag
1 1 1
Direct
0.250 0.250 0.250
0.750 0.750 0.750
0.000 0.000 0.000
```

Results
mass density: 4.36 g/cm3
uncorrected energy: -2.087 eV/atom